First-principles (meta-GGA SCAN) data for a crystal of Mg2ZrW relaxed with PBEsol, as listed in the Alexandria database.

```
Mg2ZrW
1.0
3.6002 0.0000 0.0000
0.0000 3.6002 0.0000
0.0000 0.0000 5.7826
Mg Zr W
2 1 1
direct
0.0000 0.0000 0.2297
0.0000 0.0000 0.7703
0.5000 0.5000 0.5000
0.5000 0.5000 0.0000
```

## Properties
* formation energy: 0.584 eV per atom
* total moment: 0.000 μB per atom
* crystal system: tetragonal
* relative energy among the computed polymorphs: 256.5 meV per atom
* DOS at the Fermi energy: 2.6 states/eV/cell
* SG: P4/mmm, No. 123